No. 1
This record from the Alexandria database describes a relaxed structure of Li3TiSe. The functional is PBE-GGA.

Results
Spin magnetization in μB per formula unit: 3.00
Total DFT energy (no corrections) in eV/cell: -13.13
Formation energy (no corrections) in eV/atom: 0.80

abc: 5.0355 5.0355 5.0355
angles: 90.00 90.00 90.00
Last column: nearest neighbours and their distance in Å.
Element x y z (fractional)
Li  0.5000  0.0000  0.0000  2 Ti 2.52
Li  0.0000  0.5000  0.0000  2 Ti 2.52
Li  0.0000  0.0000  0.5000  2 Ti 2.52
Ti  0.0000  0.0000  0.0000  6 Li 2.52
Se  0.5000  0.5000  0.5000  12 Li 3.56



No. 2
This record from the Alexandria database describes a relaxed structure of BaTaCu. The functional is PBE-GGA.

Results
Spin magnetization in μB per formula unit: 0.00
Total DFT energy (no corrections) in eV/cell: -33.27
Calculated formation energy in meV/atom: 413

abc: 3.9000 11.7164 3.8029
angles: 90.53 90.00 80.16
Last column: nearest neighbours and their distance in Å.
Element x y z (fractional)
Cu  0.5858  0.9854  0.2995  6 Ta 2.72-2.73, 2 Cu 2.72
Cu  0.5001  0.1541  0.8048  6 Ta 2.72-2.74, 2 Cu 2.72
Ta  0.0852  0.9880  0.7987  2 Ta 2.67-2.68, 6 Cu 2.72-2.74
Ta  0.0007  0.1513  0.3052  2 Ta 2.67-2.68, 6 Cu 2.72-2.73
Ba  0.2082  0.7379  0.2818  2 Ta 3.44-3.48, 2 Cu 3.45-3.47, 2 Ba 3.80
Ba  0.8898  0.4014  0.8218  2 Cu 3.42-3.49, 2 Ta 3.44-3.48, 2 Ba 3.80



No. 3
This record from the Alexandria database describes a relaxed structure of LaPm2Te. The functional is PBE-GGA.

Results
Spin magnetization in μB per formula unit: 0.00
Total DFT energy (no corrections) in eV/cell: -19.82
Formation energy (no corrections) in eV/atom: -0.56

abc: 4.8394 4.9582 4.9582
angles: 90.00 90.00 90.00
Last column: nearest neighbours and their distance in Å.
Element x y z (fractional)
Te  0.5000  0.0000  0.0000  8 Pm 3.46, 4 La 3.51
Pm  0.0000  0.5000  0.0000  4 La 3.46, 4 Te 3.46, 4 Pm 3.51
Pm  0.0000  0.0000  0.5000  4 La 3.46, 4 Te 3.46, 4 Pm 3.51
La  0.5000  0.5000  0.5000  8 Pm 3.46, 4 Te 3.51



No. 4
This record from the Alexandria database describes a relaxed structure of TiInSN2. The functional is PBE-GGA.

Results
Spin magnetization in μB per formula unit: 0.37
Total DFT energy (no corrections) in eV/cell: -31.15
Formation energy (no corrections) in eV/atom: 0.05

abc: 3.8860 3.8860 5.2391
angles: 90.00 90.00 90.00
Last column: nearest neighbours and their distance in Å.
Element x y z (fractional)
N  0.0000  0.5000  0.0000  2 Ti 1.94
N  0.5000  0.0000  0.0000  2 Ti 1.94
S  0.0000  0.0000  0.5000  2 Ti 2.62, 4 In 2.75
Ti  0.0000  0.0000  0.0000  4 N 1.94
In  0.5000  0.5000  0.5000  4 S 2.75



No. 5
This record from the Alexandria database describes a relaxed structure of Ac2PrScBi4. The functional is PBE-GGA.

Results
Spin magnetization in μB per formula unit: 0.00
Total DFT energy (no corrections) in eV/cell: -41.75
Calculated formation energy in meV/atom: -862

abc: 4.6851 8.1016 8.0926
angles: 109.53 90.00 90.00
Last column: nearest neighbours and their distance in Å.
Element x y z (fractional)
Sc  0.0000  0.0000  0.0000  6 Bi 3.14-3.15
Ac  0.5000  0.0000  0.5000  6 Bi 3.37
Ac  0.0000  0.5000  0.5000  6 Bi 3.47
Bi  0.0000  0.2461  0.7709  1 Sc 3.14, 2 Pr 3.26, 3 Ac 3.37-3.47
Bi  0.5000  0.2296  0.2213  2 Sc 3.15, 1 Pr 3.26, 3 Ac 3.37-3.47
Bi  0.0000  0.7539  0.2291  1 Sc 3.14, 2 Pr 3.26, 3 Ac 3.37-3.47
Bi  0.5000  0.7704  0.7787  2 Sc 3.15, 1 Pr 3.26, 3 Ac 3.37-3.47
Pr  0.5000  0.5000  0.0000  6 Bi 3.26



No. 6
This record from the Alexandria database describes a relaxed structure of Sr3YPb. The functional is PBE-GGA.

Results
Spin magnetization in μB per formula unit: 2.94
Total DFT energy (no corrections) in eV/cell: -11.59
Calculated formation energy in meV/atom: 725

abc: 6.3839 6.3839 6.3839
angles: 90.00 90.00 90.00
Last column: nearest neighbours and their distance in Å.
Element x y z (fractional)
Sr  0.0000  0.0000  0.5000  2 Y 3.19
Sr  0.0000  0.5000  0.0000  2 Y 3.19
Sr  0.5000  0.0000  0.0000  2 Y 3.19
Pb  0.5000  0.5000  0.5000  12 Sr 4.51
Y  0.0000  0.0000  0.0000  6 Sr 3.19



No. 7
This record from the Alexandria database describes a relaxed structure of GePbSe2N. The functional is PBE-GGA.

Results
Spin magnetization in μB per formula unit: 1.33
Total DFT energy (no corrections) in eV/cell: -18.44
Formation energy (no corrections) in eV/atom: 1.04

abc: 5.5077 5.5077 4.2679
angles: 90.00 90.00 90.00
Last column: nearest neighbours and their distance in Å.
Element x y z (fractional)
N  0.0000  0.0000  0.5000  2 Pb 2.13
Se  0.0000  0.5000  0.0000  2 Pb 2.75
Se  0.5000  0.0000  0.0000  2 Pb 2.75
Pb  0.0000  0.0000  0.0000  2 N 2.13
Ge  0.5000  0.5000  0.5000  8 Se 3.48, 4 N 3.89



No. 8
This record from the Alexandria database describes a relaxed structure of SnH2O. The functional is PBE-GGA.

Results
Spin magnetization in μB per formula unit: 0.00
Total DFT energy (no corrections) in eV/cell: -13.50

abc: 3.7303 3.7303 3.7303
angles: 60.00 60.00 60.00
Last column: nearest neighbours and their distance in Å.
Element x y z (fractional)
H  0.2500  0.2500  0.2500  4 Sn 2.28, 4 O 2.28
H  0.7500  0.7500  0.7500  4 Sn 2.28, 4 O 2.28
O  0.0000  0.0000  0.0000  8 H 2.28
Sn  0.5000  0.5000  0.5000  8 H 2.28



No. 9
This record from the Alexandria database describes a relaxed structure of Ho2SnGe3Rh4. The functional is PBE-GGA.

Results
Spin magnetization in μB per formula unit: 0.00
Total DFT energy (no corrections) in eV/cell: -64.35
Calculated formation energy in meV/atom: -793

abc: 4.1869 4.1869 10.5744
angles: 90.00 90.00 90.00
Last column: nearest neighbours and their distance in Å.
Element x y z (fractional)
Ge  0.0000  0.5000  0.1268  5 Rh 2.40-2.49
Ge  0.5000  0.0000  0.8732  5 Rh 2.40-2.49
Ge  0.0000  0.0000  0.5000  4 Rh 2.60
Rh  0.0000  0.5000  0.3535  3 Ge 2.40-2.60, 2 Sn 2.60
Rh  0.0000  0.0000  0.0000  4 Ge 2.49
Rh  0.5000  0.0000  0.6465  3 Ge 2.40-2.60, 2 Sn 2.60
Rh  0.5000  0.5000  0.0000  4 Ge 2.49
Sn  0.5000  0.5000  0.5000  4 Rh 2.60
Ho  0.0000  0.5000  0.7585  8 Rh 3.19-3.30, 6 Ge 3.20-3.44, 2 Sn 3.44
Ho  0.5000  0.0000  0.2415  8 Rh 3.19-3.30, 6 Ge 3.20-3.44, 2 Sn 3.44



No. 10
This record from the Alexandria database describes a relaxed structure of Sr3TlO. The functional is PBE-GGA.

Results
Spin magnetization in μB per formula unit: 0.00
Total DFT energy (no corrections) in eV/cell: -36.81
Formation energy (no corrections) in eV/atom: -1.21

abc: 7.7367 6.1827 7.3102
angles: 90.12 81.08 88.53
Last column: nearest neighbours and their distance in Å.
Element x y z (fractional)
Tl  0.3048  0.3628  0.3561  7 Sr 3.49-3.89
Tl  0.9115  0.7706  0.5395  7 Sr 3.49-3.89
O  0.4455  0.9201  0.8948  4 Sr 2.36-2.40
O  0.7708  0.2133  0.0007  4 Sr 2.36-2.40
Sr  0.7164  0.8327  0.0006  2 O 2.39-2.40
Sr  0.7923  0.3094  0.3097  1 O 2.37
Sr  0.4999  0.3008  0.8950  2 O 2.39-2.40
Sr  0.4241  0.8240  0.5859  1 O 2.37
Sr  0.0045  0.2912  0.7631  1 O 2.36
Sr  0.2119  0.8422  0.1324  1 O 2.36



No. 11
This record from the Alexandria database describes a relaxed structure of La2CuPb. The functional is PBE-GGA.

Results
Spin magnetization in μB per formula unit: 0.00
Total DFT energy (no corrections) in eV/cell: -36.35
Calculated formation energy in meV/atom: -129

abc: 8.5184 8.5184 6.8455
angles: 51.52 51.52 90.00
Last column: nearest neighbours and their distance in Å.
Element x y z (fractional)
Cu  0.5000  0.5000  0.0000  4 La 2.86
Cu  0.2500  0.7500  0.5000  4 La 2.86
La  0.3750  0.4231  0.7500  2 Cu 2.86
La  0.1731  0.6250  0.2500  2 Cu 2.86
La  0.5769  0.1250  0.2500  2 Cu 2.86
La  0.8750  0.8269  0.7500  2 Cu 2.86
Pb  0.0000  0.0000  0.0000  2 Cu 3.25, 4 La 3.41
Pb  0.7500  0.2500  0.5000  2 Cu 3.25, 4 La 3.41



No. 12
This record from the Alexandria database describes a relaxed structure of TlH4I3. The functional is PBE-GGA.

Results
Spin magnetization in μB per formula unit: 0.00
Total DFT energy (no corrections) in eV/cell: -19.26

abc: 7.3269 12.9376 5.4175
angles: 126.68 132.55 90.00
Last column: nearest neighbours and their distance in Å.
Element x y z (fractional)
I  0.1258  0.1713  0.2517  1 H 2.12
I  0.0000  0.5000  0.0000  2 H 1.94
I  0.8742  0.8287  0.7483  1 H 2.12
H  0.4376  0.4467  0.8752  1 H 0.82
H  0.7549  0.2561  0.5098  1 I 1.94, 1 Tl 2.05
H  0.5624  0.5533  0.1248  1 H 0.82
H  0.2451  0.7439  0.4902  1 I 1.94, 1 Tl 2.05
Tl  0.5000  0.0000  0.0000  2 H 2.05